Entry 1:
A plane-wave DFT calculation with PBEsol was carried out for a relaxed Ca3SnP crystal.

Geometry as POSCAR:
```
Ca3SnP
1.0
5.355 0.000 0.000
0.000 5.355 0.000
0.000 0.000 5.355
Ca Sn P
3 1 1
Direct
0.000 0.000 0.500
0.000 0.500 0.000
0.500 0.000 0.000
0.500 0.500 0.500
0.000 0.000 0.000
```

Summary:
- uncorrected energy (eV/atom) = -4.0408
- symmetry = Pm-3m
- mass density (g/cm³) = 2.92

Entry 2:
A plane-wave DFT calculation with PBEsol was carried out for a relaxed MgNiOs2I crystal.

Geometry as POSCAR:
```
MgNiOs2I
1.0
4.613 0.000 0.000
0.000 4.613 0.000
0.000 0.000 4.203
Mg Ni Os I
1 1 2 1
Direct
0.000 0.000 0.000
0.000 0.000 0.500
0.000 0.500 0.000
0.500 0.000 0.000
0.500 0.500 0.500
```

Summary:
- uncorrected energy (eV/atom) = -4.6297
- E_form (uncorrected) (meV per atom) = 2184.9
- symmetry = P4/mmm
- mass density (g/cm³) = 10.96

Entry 3:
A plane-wave DFT calculation with PBEsol was carried out for a relaxed CoSi2Se crystal.

Geometry as POSCAR:
```
CoSi2Se
1.0
-2.687 2.687 5.213
2.687 -2.687 5.213
2.687 2.687 -5.213
Co Si Se
2 4 2
Direct
0.000 0.000 0.000
0.750 0.250 0.500
0.070 0.625 0.945
0.375 0.320 0.445
0.680 0.125 0.055
0.875 0.930 0.555
0.250 0.750 0.500
0.500 0.500 0.000
```

Summary:
- uncorrected energy (eV/atom) = -5.6529
- E_form (uncorrected) (meV per atom) = 117.3
- symmetry = I-42d
- mass density (g/cm³) = 4.28

Entry 4:
A plane-wave DFT calculation with PBEsol was carried out for a relaxed Co2ReMo crystal.

Geometry as POSCAR:
```
Co2ReMo
1.0
-1.836 1.836 3.664
1.836 -1.836 3.664
1.836 1.836 -3.664
Co Re Mo
2 1 1
Direct
0.250 0.750 0.500
0.750 0.250 0.500
0.000 0.000 0.000
0.500 0.500 0.000
```

Summary:
- excess energy over the best structure of this formula in the dataset (eV/f.u.) = 0.29
- uncorrected energy (eV/atom) = -10.1460
- symmetry = I4/mmm
- mass density (g/cm³) = 13.44

Entry 5:
A plane-wave DFT calculation with PBEsol was carried out for a relaxed BaAg2O2 crystal.

Geometry as POSCAR:
```
BaAg2O2
1.0
-2.906 2.906 5.393
2.906 -2.906 5.393
2.906 2.906 -5.393
Ba Ag O
2 4 4
Direct
0.375 0.625 0.750
0.625 0.375 0.250
0.000 0.000 0.000
0.000 0.000 0.500
0.000 0.500 0.000
0.500 0.000 0.500
0.135 0.385 0.750
0.385 0.135 0.250
0.615 0.865 0.750
0.865 0.615 0.250
```

Summary:
- uncorrected energy (eV/atom) = -4.9707
- E_form (uncorrected) (meV per atom) = -1116.7
- symmetry = I4_1/amd
- mass density (g/cm³) = 7.02

Entry 6:
A plane-wave DFT calculation with PBEsol was carried out for a relaxed KBaSe2S crystal.

Geometry as POSCAR:
```
KBaSe2S
1.0
5.477 0.000 0.000
0.000 5.477 0.000
0.000 0.000 5.371
K Ba Se S
1 1 2 1
Direct
0.000 0.000 0.000
0.500 0.500 0.500
0.000 0.500 0.000
0.500 0.000 0.000
0.000 0.000 0.500
```

Summary:
- uncorrected energy (eV/atom) = -3.3122
- E_form (uncorrected) (meV per atom) = -238.8
- symmetry = P4/mmm
- mass density (g/cm³) = 3.78

Entry 7:
A plane-wave DFT calculation with PBEsol was carried out for a relaxed TcSb2As crystal.

Geometry as POSCAR:
```
TcSb2As
1.0
-2.294 2.294 3.647
2.294 -2.294 3.647
2.294 2.294 -3.647
Tc Sb As
1 2 1
Direct
0.000 0.000 0.000
0.250 0.750 0.500
0.750 0.250 0.500
0.500 0.500 0.000
```

Summary:
- excess energy over the best structure of this formula in the dataset (eV/f.u.) = 1.76
- uncorrected energy (eV/atom) = -5.9107
- E_form (uncorrected) (meV per atom) = 461.1
- symmetry = I4/mmm
- mass density (g/cm³) = 9.01

Entry 8:
A plane-wave DFT calculation with PBEsol was carried out for a relaxed TaHg2P crystal.

Geometry as POSCAR:
```
TaHg2P
1.0
3.266 0.000 0.000
0.000 3.266 0.000
0.000 0.000 6.934
Ta Hg P
1 2 1
Direct
0.000 0.000 0.000
0.000 0.000 0.573
0.500 0.500 0.287
0.500 0.500 0.861
```

Summary:
- uncorrected energy (eV/atom) = -4.9700
- symmetry = P4mm
- mass density (g/cm³) = 13.77

Entry 9:
A plane-wave DFT calculation with PBEsol was carried out for a relaxed BaTi3Cu crystal.

Geometry as POSCAR:
```
BaTi3Cu
1.0
4.877 0.000 0.000
0.000 4.877 0.000
0.000 0.000 4.877
Ba Ti Cu
1 3 1
Direct
0.000 0.000 0.000
0.000 0.000 0.500
0.000 0.500 0.000
0.500 0.000 0.000
0.500 0.500 0.500
```

Summary:
- excess energy over the best structure of this formula in the dataset (eV/f.u.) = 6.41
- uncorrected energy (eV/atom) = -4.2765
- symmetry = Pm-3m
- mass density (g/cm³) = 4.93

Entry 10:
A plane-wave DFT calculation with PBEsol was carried out for a relaxed Pm3Tm crystal.

Geometry as POSCAR:
```
Pm3Tm
1.0
-2.498 2.498 4.977
2.498 -2.498 4.977
2.498 2.498 -4.977
Pm Tm
3 1
Direct
0.000 0.000 0.000
0.250 0.750 0.500
0.750 0.250 0.500
0.500 0.500 0.000
```

Summary:
- excess energy over the best structure of this formula in the dataset (eV/f.u.) = 0.00
- uncorrected energy (eV/atom) = -5.0673
- symmetry = I4/mmm
- mass density (g/cm³) = 8.07

Entry 11:
A plane-wave DFT calculation with PBEsol was carried out for a relaxed HgTePt2 crystal.

Geometry as POSCAR:
```
HgTePt2
1.0
1.878 1.084 6.590
-1.878 1.084 6.590
0.000 -2.169 6.590
Hg Te Pt
1 1 2
Direct
0.000 0.000 0.000
0.500 0.500 0.500
0.248 0.248 0.248
0.752 0.752 0.752
```

Summary:
- excess energy over the best structure of this formula in the dataset (eV/f.u.) = 0.00
- uncorrected energy (eV/atom) = -4.4873
- E_form (uncorrected) (meV per atom) = 17.7
- symmetry = R-3m
- mass density (g/cm³) = 14.81

Entry 12:
A plane-wave DFT calculation with PBEsol was carried out for a relaxed AlSb2Pb crystal.

Geometry as POSCAR:
```
AlSb2Pb
1.0
2.082 1.202 7.108
-2.082 1.202 7.108
0.000 -2.404 7.108
Al Sb Pb
1 2 1
Direct
0.000 0.000 0.000
0.263 0.263 0.263
0.737 0.737 0.737
0.500 0.500 0.500
```

Summary:
- excess energy over the best structure of this formula in the dataset (eV/f.u.) = 0.00
- uncorrected energy (eV/atom) = -4.2693
- E_form (uncorrected) (meV per atom) = 31.9
- symmetry = R-3m
- mass density (g/cm³) = 7.43

Entry 13:
A plane-wave DFT calculation with PBEsol was carried out for a relaxed CuReSi2 crystal.

Geometry as POSCAR:
```
CuReSi2
1.0
4.075 0.000 0.000
0.000 4.075 0.000
0.000 0.000 3.055
Cu Re Si
1 1 2
Direct
0.000 0.000 0.000
0.500 0.500 0.000
0.000 0.500 0.500
0.500 0.000 0.500
```

Summary:
- excess energy over the best structure of this formula in the dataset (eV/f.u.) = 0.09
- uncorrected energy (eV/atom) = -7.2803
- E_form (uncorrected) (meV per atom) = 9.6
- symmetry = P4/mmm
- mass density (g/cm³) = 10.01

Entry 14:
A plane-wave DFT calculation with PBEsol was carried out for a relaxed RbLuS2O8 crystal.

Geometry as POSCAR:
```
RbLuS2O8
1.0
8.744 0.000 0.000
0.000 5.044 0.000
-0.697 0.000 7.501
Rb Lu S O
2 2 4 16
Direct
0.000 0.186 0.250
0.000 0.814 0.750
0.500 0.100 0.250
0.500 0.900 0.750
0.287 0.324 0.844
0.287 0.676 0.344
0.713 0.324 0.656
0.713 0.676 0.156
0.143 0.319 0.925
0.143 0.681 0.425
0.283 0.150 0.683
0.283 0.850 0.183
0.328 0.401 0.298
0.328 0.599 0.798
0.420 0.206 0.962
0.420 0.794 0.462
0.580 0.206 0.538
0.580 0.794 0.038
0.672 0.401 0.202
0.672 0.599 0.702
0.717 0.150 0.817
0.717 0.850 0.317
0.857 0.319 0.575
0.857 0.681 0.075
```

Summary:
- uncorrected energy (eV/atom) = -6.8761
- E_form (uncorrected) (meV per atom) = -2154.4
- symmetry = P2/c
- mass density (g/cm³) = 4.54

Entry 15:
A plane-wave DFT calculation with PBEsol was carried out for a relaxed LaTaOs2 crystal.

Geometry as POSCAR:
```
LaTaOs2
1.0
0.000 3.267 3.267
3.267 0.000 3.267
3.267 3.267 0.000
La Ta Os
1 1 2
Direct
0.000 0.000 0.000
0.750 0.750 0.750
0.250 0.250 0.250
0.500 0.500 0.500
```

Summary:
- uncorrected energy (eV/atom) = -10.1058
- symmetry = F-43m
- mass density (g/cm³) = 16.67

Entry 16:
A plane-wave DFT calculation with PBEsol was carried out for a relaxed Mg2Ga crystal.

Geometry as POSCAR:
```
Mg2Ga
1.0
7.681 0.000 0.000
-3.841 6.652 0.000
0.000 0.000 6.939
Mg Ga
12 6
Direct
0.000 0.276 0.000
0.000 0.276 0.500
0.023 0.627 0.250
0.276 0.000 0.000
0.276 0.000 0.500
0.373 0.396 0.250
0.396 0.373 0.750
0.604 0.977 0.250
0.627 0.023 0.750
0.724 0.724 0.000
0.724 0.724 0.500
0.977 0.604 0.750
0.000 0.000 0.250
0.000 0.000 0.750
0.333 0.667 0.534
0.333 0.667 0.966
0.667 0.333 0.034
0.667 0.333 0.466
```

Summary:
- uncorrected energy (eV/atom) = -2.4098
- symmetry = P-62c
- mass density (g/cm³) = 3.33

Entry 17:
A plane-wave DFT calculation with PBEsol was carried out for a relaxed Li4InFe crystal.

Geometry as POSCAR:
```
Li4InFe
1.0
0.000 3.528 3.528
3.528 0.000 3.528
3.528 3.528 0.000
Li In Fe
4 1 1
Direct
0.376 0.376 0.376
0.376 0.376 0.873
0.376 0.873 0.376
0.873 0.376 0.376
0.000 0.000 0.000
0.750 0.750 0.750
```

Summary:
- uncorrected energy (eV/atom) = -3.0917
- symmetry = F-43m
- mass density (g/cm³) = 3.75

Entry 18:
A plane-wave DFT calculation with PBEsol was carried out for a relaxed Zr2Sc crystal.

Geometry as POSCAR:
```
Zr2Sc
1.0
4.936 0.000 0.000
-2.468 4.275 0.000
0.000 0.000 6.310
Zr Sc
4 2
Direct
0.000 0.000 0.000
0.000 0.000 0.500
0.333 0.667 0.250
0.667 0.333 0.750
0.333 0.667 0.750
0.667 0.333 0.250
```

Summary:
- uncorrected energy (eV/atom) = -8.2440
- symmetry = P6_3/mmc
- mass density (g/cm³) = 5.67

Entry 19:
A plane-wave DFT calculation with PBEsol was carried out for a relaxed FeAsAu2 crystal.

Geometry as POSCAR:
```
FeAsAu2
1.0
2.694 -4.187 0.000
2.694 4.187 0.000
0.000 0.000 2.844
Fe As Au
1 1 2
Direct
0.000 0.000 0.000
0.500 0.500 0.000
0.000 0.500 0.500
0.500 0.000 0.500
```

Summary:
- uncorrected energy (eV/atom) = -5.1969
- symmetry = Cmmm
- mass density (g/cm³) = 13.58

Entry 20:
A plane-wave DFT calculation with PBEsol was carried out for a relaxed Sr2NiSe3O9 crystal.

Geometry as POSCAR:
```
Sr2NiSe3O9
1.0
7.225 0.000 0.000
-0.674 7.489 0.000
-2.300 -2.133 8.097
Sr Ni Se O
4 2 6 18
Direct
0.123 0.482 0.305
0.257 0.919 0.108
0.743 0.081 0.892
0.877 0.518 0.695
0.403 0.667 0.745
0.597 0.333 0.255
0.135 0.924 0.702
0.275 0.362 0.912
0.405 0.211 0.549
0.595 0.789 0.451
0.725 0.638 0.088
0.865 0.076 0.298
0.011 0.124 0.181
0.030 0.287 0.847
0.138 0.701 0.595
0.270 0.594 0.909
0.329 0.357 0.116
0.329 0.424 0.578
0.360 0.952 0.847
0.366 0.749 0.321
0.437 0.188 0.357
0.563 0.812 0.643
0.634 0.251 0.679
0.640 0.048 0.153
0.671 0.576 0.422
0.671 0.643 0.884
0.730 0.406 0.091
0.862 0.299 0.405
0.970 0.713 0.153
0.989 0.876 0.819
```

Summary:
- uncorrected energy (eV/atom) = -6.0953
- E_form (uncorrected) (meV per atom) = -1519.8
- symmetry = P-1
- mass density (g/cm³) = 4.66